A relaxed structure of Ba2BrCl, computed with GGA-PBE.

The structure in POSCAR format:
```
Ba2BrCl
1.0
4.599 0.000 0.000
0.000 6.413 0.000
-1.565 0.000 5.621
Ba Br Cl
2 1 1
Direct
0.000 0.000 0.000 Ba
0.441 0.500 0.465 Ba
0.085 0.500 0.891 Br
0.367 0.000 0.582 Cl
```

## Properties
Offset from the most stable computed form (eV/f.u.): 0.404
Density of states at the Fermi level (states/eV/cell): 2.67
Symmetry: Pm
Raw formation energy (kJ per mole of atoms): -151.1
Size of the total moment (μB per cell): 1.7

=====

A relaxed structure of Ba2BrCl, computed with GGA-PBE.

The structure in POSCAR format:
```
Ba2BrCl
1.0
2.107 -4.061 0.000
2.107 4.061 0.000
0.000 0.000 10.003
Ba Br Cl
2 1 1
Direct
0.000 0.000 0.242 Ba
0.000 0.000 0.758 Ba
0.500 0.500 0.500 Br
0.500 0.500 0.000 Cl
```

## Properties
Offset from the most stable computed form (eV/f.u.): 0.439
Density of states at the Fermi level (states/eV/cell): 2.42
Symmetry: Cmmm
Raw formation energy (kJ per mole of atoms): -150.3
Size of the total moment (μB per cell): 1.0

=====

A relaxed structure of Ba2BrCl, computed with GGA-PBE.

The structure in POSCAR format:
```
Ba2BrCl
1.0
4.551 0.000 0.000
0.000 4.551 0.000
0.000 0.000 7.576
Ba Br Cl
2 1 1
Direct
0.000 0.000 0.000 Ba
0.500 0.500 0.429 Ba
0.000 0.000 0.556 Br
0.500 0.500 0.874 Cl
```

## Properties
Offset from the most stable computed form (eV/f.u.): 0.000
Density of states at the Fermi level (states/eV/cell): 1.98
Symmetry: P4mm
Raw formation energy (kJ per mole of atoms): -160.9
Size of the total moment (μB per cell): 1.9

=====

> Look up the density of states at the Fermi level of the second one.

2.42 states/eV/cell

=====

> Which formula does entry 1 have?

Ba2BrCl